Record 1
A geometry-optimized Sr2LiBr2O2 structure, computed with PBE.

Formation energy without anion corrections ... -47.478 kcal/mol of atoms
E_tot ... -4.71 eV per atom

Geometry as CIF:
```
data_Sr2LiBr2O2
_chemical_formula_sum 'Sr2 Li1 Br2 O2'
_cell_length_a 4.028
_cell_length_b 4.028
_cell_length_c 9.666
_cell_angle_alpha 102.02
_cell_angle_beta 102.02
_cell_angle_gamma 90.00
_space_group_name_H-M_alt 'P 1'
_space_group_IT_number 1
loop_
_space_group_symop_operation_xyz
'x,y,z'
loop_
_atom_site_label
_atom_site_type_symbol
_atom_site_fract_x
_atom_site_fract_y
_atom_site_fract_z
Sr1 Sr 0.408 0.408 0.817
Sr2 Sr 0.592 0.592 0.183
O1 O 0.000 0.500 0.000
O2 O 0.500 0.000 0.000
Br1 Br 0.832 0.832 0.665
Br2 Br 0.168 0.168 0.335
Li1 Li 0.000 0.000 0.000
```

---

Record 2
A geometry-optimized LiTcBr2O structure, computed with PBE.

Formation energy without anion corrections ... 5.500 kcal/mol of atoms
E_tot ... -3.88 eV per atom

Geometry as CIF:
```
data_LiTcBr2O
_chemical_formula_sum 'Li1 Tc1 Br2 O1'
_cell_length_a 5.188
_cell_length_b 3.546
_cell_length_c 5.188
_cell_angle_alpha 90.00
_cell_angle_beta 90.00
_cell_angle_gamma 90.00
_space_group_name_H-M_alt 'P 1'
_space_group_IT_number 1
loop_
_space_group_symop_operation_xyz
'x,y,z'
loop_
_atom_site_label
_atom_site_type_symbol
_atom_site_fract_x
_atom_site_fract_y
_atom_site_fract_z
O1 O 0.000 0.000 0.000
Li1 Li 0.000 0.500 0.000
Br1 Br 0.500 0.000 0.000
Br2 Br 0.000 0.000 0.500
Tc1 Tc 0.500 0.500 0.500
```

---

Record 3
A geometry-optimized LiTeBrO2 structure, computed with PBE.

Formation energy without anion corrections ... -28.981 kcal/mol of atoms
E_tot ... -4.59 eV per atom

Geometry as CIF:
```
data_LiTeBrO2
_chemical_formula_sum 'Li2 Te2 Br2 O4'
_cell_length_a 4.045
_cell_length_b 6.245
_cell_length_c 7.185
_cell_angle_alpha 92.41
_cell_angle_beta 90.00
_cell_angle_gamma 90.00
_space_group_name_H-M_alt 'P 1'
_space_group_IT_number 1
loop_
_space_group_symop_operation_xyz
'x,y,z'
loop_
_atom_site_label
_atom_site_type_symbol
_atom_site_fract_x
_atom_site_fract_y
_atom_site_fract_z
O1 O 0.750 0.563 0.424
O2 O 0.250 0.437 0.576
O3 O 0.250 0.517 0.157
O4 O 0.750 0.483 0.843
Te1 Te 0.750 0.320 0.618
Te2 Te 0.250 0.680 0.382
Br1 Br 0.750 0.005 0.226
Br2 Br 0.250 0.995 0.774
Li1 Li 0.750 0.406 0.111
Li2 Li 0.250 0.594 0.889
```

---

Record 4
A geometry-optimized LiUBrO4 structure, computed with PBE.

Formation energy without anion corrections ... -43.051 kcal/mol of atoms
E_tot ... -6.83 eV per atom

Geometry as CIF:
```
data_LiUBrO4
_chemical_formula_sum 'Li2 U2 Br2 O8'
_cell_length_a 7.127
_cell_length_b 7.127
_cell_length_c 6.611
_cell_angle_alpha 69.64
_cell_angle_beta 69.64
_cell_angle_gamma 52.33
_space_group_name_H-M_alt 'P 1'
_space_group_IT_number 1
loop_
_space_group_symop_operation_xyz
'x,y,z'
loop_
_atom_site_label
_atom_site_type_symbol
_atom_site_fract_x
_atom_site_fract_y
_atom_site_fract_z
O1 O 0.657 0.657 0.472
O2 O 0.576 0.941 0.820
O3 O 0.562 0.562 0.138
O4 O 0.343 0.343 0.528
O5 O 0.941 0.576 0.820
O6 O 0.059 0.424 0.180
O7 O 0.424 0.059 0.180
O8 O 0.438 0.438 0.862
Li1 Li 0.610 0.610 0.791
Li2 Li 0.390 0.390 0.209
U1 U 0.711 0.711 0.160
U2 U 0.289 0.289 0.840
Br1 Br 0.048 0.048 0.809
Br2 Br 0.952 0.952 0.191
```

---

Number 1: calculated density 4.14 g/cm3. Number 2: calculated density 4.88 g/cm3. Number 3: calculated density 4.51 g/cm3. Number 4: calculated density 5.27 g/cm3.